{"formula": "PtPb2Cl", "functional": "GGA-PBE", "state": "optimized geometry", "dos_ef_per_ev_fu": 1.03, "raw_formation_energy_mev_per_atom": -402, "cell": [[-0.688, -0.370, -3.403], [3.307, -0.970, -0.560], [-2.023, -7.610, 1.236]], "species": ["Cl", "Pb", "Pb", "Pt"], "fractional_positions": [[0.500, 0.500, 0.750], [0.000, 0.000, 0.029], [0.000, 0.000, 0.471], [0.500, 0.500, 0.250]]}